[1]
# Ag3IrBr2F6

Crystalline Ag3IrBr2F6 at its relaxed geometry (PBE-GGA, Alexandria).

a b c (Å): 4.974 6.991 7.608
angles (deg): 117.35 92.24 90.00
Element x y z (fractional)
F  0.286  0.135  0.871
Ir  0.500  0.000  0.000
Br  0.852  0.312  0.623
F  0.288  0.117  0.234
Ag  0.000  0.500  0.000
F  0.712  0.883  0.766
Br  0.148  0.688  0.377
F  0.714  0.265  0.129
F  0.286  0.735  0.871
F  0.714  0.865  0.129
Ag  0.500  0.000  0.500
Ag  0.500  0.500  0.500

The value obtained for the energy relative to the elements, uncorrected is -1.077 eV per atom.

[2]
# AlOsPb2

Crystalline AlOsPb2 at its relaxed geometry (PBE-GGA, Alexandria).

a b c (Å): 3.308 3.308 8.204
angles (deg): 90.00 90.00 89.98
Element x y z (fractional)
Pb  0.000  0.000  0.538
Al  0.500  0.500  0.250
Pb  0.000  0.000  0.962
Os  0.500  0.500  0.750

For the formation enthalpy at 0 K, the calculation gives 0.6508 eV/atom.

[3]
# YMn3Si

Crystalline YMn3Si at its relaxed geometry (PBE-GGA, Alexandria).

a b c (Å): 4.491 4.491 4.491
angles (deg): 90.00 90.00 90.00
Element x y z (fractional)
Mn  0.000  0.000  0.500
Mn  0.500  0.000  0.000
Si  0.000  0.000  0.000
Y  0.500  0.500  0.500
Mn  0.000  0.500  0.000

The value obtained for the energy relative to the elements, uncorrected is 0.239 eV per atom. The value obtained for the energy above the most stable polymorph in this dataset is 0.000 eV per atom.

[4]
# PrSmDy

Crystalline PrSmDy at its relaxed geometry (PBE-GGA, Alexandria).

a b c (Å): 3.634 3.634 8.108
angles (deg): 102.95 102.95 90.00
Element x y z (fractional)
Pr  0.332  0.332  0.664
Dy  0.666  0.666  0.331
Sm  0.002  0.002  0.005

For the formation enthalpy at 0 K, the calculation gives 0.0210 eV/atom. The value obtained for the energy above the most stable polymorph in this dataset is 0.012 eV per atom.

What is the formula in the first record? Ag3IrBr2F6